(1)
Density functional theory data (PBE) for YHo5Mg2 after structural relaxation.

```
data_YHo5Mg2
_chemical_formula_sum 'Y2 Ho10 Mg4'
_cell_length_a 3.471
_cell_length_b 10.680
_cell_length_c 12.786
_cell_angle_alpha 90.00
_cell_angle_beta 90.00
_cell_angle_gamma 90.00
_space_group_name_H-M_alt 'I m m m'
_space_group_IT_number 71
_space_group_name_Hall '-I 2 2'
loop_
_atom_site_label
_atom_site_type_symbol
_atom_site_fract_x
_atom_site_fract_y
_atom_site_fract_z
_atom_site_occupancy
Y1 Y 0.000 0.000 0.000 1
Ho1 Ho 0.000 0.229 0.368 1
Ho2 Ho 0.000 0.500 0.000 1
Mg1 Mg 0.000 0.500 0.261 1
```

Summary:
DFT total energy: -4.0288 eV/atom
ΔE_f: 0.31 eV/f.u.
M_tot: 0.00 μB per cell

(2)
Density functional theory data (PBE) for DyPuIrPd after structural relaxation.

```
data_DyPuIrPd
_chemical_formula_sum 'Dy4 Pu4 Ir4 Pd4'
_cell_length_a 6.934
_cell_length_b 6.934
_cell_length_c 6.934
_cell_angle_alpha 90.00
_cell_angle_beta 90.00
_cell_angle_gamma 90.00
_space_group_name_H-M_alt 'F -4 3 m'
_space_group_IT_number 216
_space_group_name_Hall 'F -4 2 3'
loop_
_atom_site_label
_atom_site_type_symbol
_atom_site_fract_x
_atom_site_fract_y
_atom_site_fract_z
_atom_site_occupancy
Dy1 Dy 0.000 0.000 0.000 1
Pu1 Pu 0.000 0.000 0.500 1
Ir1 Ir 0.250 0.250 0.250 1
Pd1 Pd 0.250 0.250 0.750 1
```

Summary:
ΔE to the lowest computed polymorph: 0.000 eV per atom
DFT total energy: -8.8894 eV/atom
ΔE_f: -2.57 eV/f.u.
M_tot: 21.80 μB per cell

(3)
Density functional theory data (PBE) for V2PdSe6 after structural relaxation.

```
data_V2PdSe6
_chemical_formula_sum 'V4 Pd2 Se12'
_cell_length_a 5.943
_cell_length_b 5.943
_cell_length_c 10.864
_cell_angle_alpha 90.00
_cell_angle_beta 90.00
_cell_angle_gamma 90.00
_space_group_name_H-M_alt 'P 42/m n m'
_space_group_IT_number 136
_space_group_name_Hall '-P 4n 2n'
loop_
_atom_site_label
_atom_site_type_symbol
_atom_site_fract_x
_atom_site_fract_y
_atom_site_fract_z
_atom_site_occupancy
V1 V 0.000 0.000 0.152 1
Pd1 Pd 0.000 0.000 0.500 1
Se1 Se 0.201 0.201 0.323 1
Se2 Se 0.204 0.204 0.000 1
```

Summary:
Formation energy (no corrections): -3.35 eV per formula unit
DFT total energy: -5.2990 eV/atom
M_tot: 0.89 μB per cell

(4)
Density functional theory data (PBE) for Sr2LiZn3Ag4 after structural relaxation.

```
data_Sr2LiZn3Ag4
_chemical_formula_sum 'Sr2 Li1 Zn3 Ag4'
_cell_length_a 4.570
_cell_length_b 4.570
_cell_length_c 10.824
_cell_angle_alpha 90.00
_cell_angle_beta 90.00
_cell_angle_gamma 90.00
_space_group_name_H-M_alt 'P -4 m 2'
_space_group_IT_number 115
loop_
_space_group_symop_operation_xyz
'x,y,z'
'y,-x,-z'
'-x,-y,z'
'-y,x,-z'
'-x,y,z'
'-y,-x,-z'
'x,-y,z'
'y,x,-z'
loop_
_atom_site_label
_atom_site_type_symbol
_atom_site_fract_x
_atom_site_fract_y
_atom_site_fract_z
_atom_site_occupancy
Sr1 Sr 0.000 0.500 0.244 1
Li1 Li 0.000 0.000 0.500 1
Zn1 Zn 0.000 0.500 0.871 1
Zn2 Zn 0.500 0.500 0.500 1
Ag1 Ag 0.000 0.000 0.000 1
Ag2 Ag 0.000 0.500 0.631 1
Ag3 Ag 0.500 0.500 0.000 1
```

Summary:
DFT total energy: -2.2707 eV/atom
ΔE_f: -2.20 eV/f.u.
M_tot: 0.00 μB per cell

(5)
Density functional theory data (PBE) for GeAs after structural relaxation.

```
data_GeAs
_chemical_formula_sum 'Ge12 As12'
_cell_length_a 16.453
_cell_length_b 3.839
_cell_length_c 9.816
_cell_angle_alpha 90.00
_cell_angle_beta 103.91
_cell_angle_gamma 90.00
_space_group_name_H-M_alt 'C 1 2/m 1'
_space_group_IT_number 12
loop_
_space_group_symop_operation_xyz
'x,y,z'
'-x,-y,-z'
'-x,y,-z'
'x,-y,z'
'x+1/2,y+1/2,z'
'-x+1/2,-y+1/2,-z'
'-x+1/2,y+1/2,-z'
'x+1/2,-y+1/2,z'
loop_
_atom_site_label
_atom_site_type_symbol
_atom_site_fract_x
_atom_site_fract_y
_atom_site_fract_z
_atom_site_occupancy
Ge1 Ge 0.068 0.000 0.091 1
Ge2 Ge 0.130 0.500 0.421 1
Ge3 Ge 0.241 0.500 0.288 1
As1 As 0.036 0.000 0.329 1
As2 As 0.155 0.500 0.044 1
As3 As 0.160 0.500 0.682 1
```

Summary:
DFT total energy: -4.6828 eV/atom
ΔE_f: -0.10 eV/f.u.
M_tot: 0.00 μB per cell

(6)
Density functional theory data (PBE) for ErTm2Ag2 after structural relaxation.

```
data_ErTm2Ag2
_chemical_formula_sum 'Er2 Tm4 Ag4'
_cell_length_a 6.306
_cell_length_b 4.962
_cell_length_c 8.034
_cell_angle_alpha 90.00
_cell_angle_beta 95.53
_cell_angle_gamma 90.00
_space_group_name_H-M_alt 'P 1 21/m 1'
_space_group_IT_number 11
loop_
_space_group_symop_operation_xyz
'x,y,z'
'-x,-y,-z'
'-x,y+1/2,-z'
'x,-y+1/2,z'
loop_
_atom_site_label
_atom_site_type_symbol
_atom_site_fract_x
_atom_site_fract_y
_atom_site_fract_z
_atom_site_occupancy
Er1 Er 0.187 0.250 0.246 1
Tm1 Tm 0.339 0.750 0.946 1
Tm2 Tm 0.405 0.250 0.643 1
Ag1 Ag 0.071 0.250 0.884 1
Ag2 Ag 0.136 0.750 0.481 1
```

Summary:
ΔE to the lowest computed polymorph: 0.090 eV per atom
DFT total energy: -4.0038 eV/atom
ΔE_f: -0.81 eV/f.u.
M_tot: 0.00 μB per cell

(7)
Density functional theory data (PBE) for LaAgAs2 after structural relaxation.

```
data_LaAgAs2
_chemical_formula_sum 'La2 Ag2 As4'
_cell_length_a 4.071
_cell_length_b 4.539
_cell_length_c 9.871
_cell_angle_alpha 90.00
_cell_angle_beta 90.00
_cell_angle_gamma 90.00
_space_group_name_H-M_alt 'I m m 2'
_space_group_IT_number 44
loop_
_space_group_symop_operation_xyz
'x,y,z'
'-x,-y,z'
'-x,y,z'
'x,-y,z'
'x+1/2,y+1/2,z+1/2'
'-x+1/2,-y+1/2,z+1/2'
'-x+1/2,y+1/2,z+1/2'
'x+1/2,-y+1/2,z+1/2'
loop_
_atom_site_label
_atom_site_type_symbol
_atom_site_fract_x
_atom_site_fract_y
_atom_site_fract_z
_atom_site_occupancy
La1 La 0.000 0.000 0.000 1
Ag1 Ag 0.000 0.500 0.770 1
As1 As 0.000 0.000 0.490 1
As2 As 0.000 0.500 0.227 1
```

Summary:
DFT total energy: -4.7980 eV/atom
ΔE_f: -2.11 eV/f.u.
M_tot: 0.00 μB per cell

(8)
Density functional theory data (PBE) for HfThU after structural relaxation.

```
data_HfThU
_chemical_formula_sum 'Hf4 Th4 U4'
_cell_length_a 7.986
_cell_length_b 7.986
_cell_length_c 5.230
_cell_angle_alpha 90.00
_cell_angle_beta 90.00
_cell_angle_gamma 90.00
_space_group_name_H-M_alt 'P 42/m m c'
_space_group_IT_number 131
_space_group_name_Hall '-P 4c 2'
loop_
_atom_site_label
_atom_site_type_symbol
_atom_site_fract_x
_atom_site_fract_y
_atom_site_fract_z
_atom_site_occupancy
Hf1 Hf 0.000 0.189 0.000 1
Th1 Th 0.179 0.500 0.500 1
U1 U 0.312 0.500 0.000 1
```

Summary:
DFT total energy: -8.5800 eV/atom
ΔE_f: 2.92 eV/f.u.
M_tot: 7.88 μB per cell